1.
5
Lattice="4.950 0.000 0.000 0.000 4.950 0.000 0.000 0.000 4.950" Properties=species:S:1:pos:R:3 comment="LaAgIr3 PBE optimized geometry" delta_e_f_ev_per_fu=9.658 energy_ev_per_atom=-4.9408 vol_a3_per_atom=24.3 pbc="T T T"
La 0.000 0.000 0.000
Ag 2.475 2.475 2.475
Ir 0.000 0.000 2.475
Ir 0.000 2.475 0.000
Ir 2.475 0.000 0.000

=====

2.
24
Lattice="7.912 -11.529 0.000 7.912 11.529 0.000 0.000 0.000 3.529" Properties=species:S:1:pos:R:3 comment="Er4Mg9Pb11 PBE optimized geometry" delta_e_f_ev_per_fu=-2.716 energy_ev_per_atom=-3.1713 vol_a3_per_atom=26.8 pbc="T T T"
Er 2.596 1.979 0.000
Er 2.596 -1.979 0.000
Er 13.228 1.979 0.000
Er 13.228 -1.979 0.000
Mg 0.000 0.000 0.000
Mg 6.199 6.295 0.000
Mg 6.196 2.094 0.000
Mg 9.625 6.295 0.000
Mg 6.196 -2.094 0.000
Mg 9.628 2.094 0.000
Mg 6.199 -6.295 0.000
Mg 9.628 -2.094 0.000
Mg 9.625 -6.295 0.000
Pb 4.364 4.159 1.765
Pb 7.912 8.660 1.765
Pb 4.494 0.000 1.765
Pb 7.912 4.187 1.765
Pb 4.364 -4.159 1.765
Pb 7.912 0.000 1.765
Pb 11.461 4.159 1.765
Pb 7.912 -4.187 1.765
Pb 11.330 0.000 1.765
Pb 7.912 -8.660 1.765
Pb 11.461 -4.159 1.765

=====

3.
11
Lattice="3.203 -5.603 0.000 3.203 5.603 0.000 -2.157 0.000 6.208" Properties=species:S:1:pos:R:3 comment="Li2YHf2S6 PBE optimized geometry" energy_ev_per_atom=-6.6388 vol_a3_per_atom=20.3 raw_formation_energy_ev_per_atom=-1.642 pbc="T T T"
Li 3.203 3.751 0.000
Li 3.203 -3.751 0.000
Y -1.078 0.000 3.104
Hf 2.125 1.853 3.104
Hf 2.125 -1.853 3.104
S 0.028 1.984 4.606
S 1.167 0.000 1.585
S 0.028 -1.984 4.606
S 4.222 1.984 1.602
S 3.083 0.000 4.623
S 4.222 -1.984 1.602

=====

4.
4
Lattice="2.539 0.000 0.000 0.000 2.539 0.000 0.000 0.000 10.147" Properties=species:S:1:pos:R:3 comment="Pu2AlTc PBE optimized geometry" delta_e_f_ev_per_fu=1.317 energy_ev_per_atom=-10.3639 vol_a3_per_atom=16.4 pbc="T T T"
Pu 0.000 0.000 2.481
Pu 0.000 0.000 7.666
Al 1.269 1.269 0.000
Tc 1.269 1.269 5.074

=====

5.
5
Lattice="4.181 0.000 0.000 0.000 4.181 0.000 0.000 0.000 4.261" Properties=species:S:1:pos:R:3 comment="NbAsPd2N PBE optimized geometry" energy_ev_per_atom=-6.7767 vol_a3_per_atom=14.9 raw_formation_energy_ev_per_atom=-0.091 pbc="T T T"
Nb 0.000 0.000 0.000
As 2.091 2.091 0.000
Pd 0.000 2.091 2.130
Pd 2.091 0.000 2.130
N 0.000 0.000 2.130

=====

6.
4
Lattice="2.747 0.000 0.000 0.000 3.563 0.000 -1.361 0.000 5.186" Properties=species:S:1:pos:R:3 comment="SiNi2Pt PBE optimized geometry" energy_ev_per_atom=-6.1445 vol_a3_per_atom=12.7 raw_formation_energy_ev_per_atom=-0.388 pbc="T T T"
Si 0.000 0.000 0.000
Ni -0.008 0.000 2.213
Ni 1.371 1.782 0.882
Pt 1.369 1.782 3.600

=====

7.
28
Lattice="5.696 0.000 0.000 0.000 10.509 0.000 0.000 0.000 11.168" Properties=species:S:1:pos:R:3 comment="Mg2Cd4Sn PBE optimized geometry" delta_e_f_ev_per_fu=0.042 energy_ev_per_atom=-1.5444 vol_a3_per_atom=23.9 pbc="T T T"
Mg 0.260 0.598 1.916
Mg 0.260 4.656 7.500
Mg 2.588 5.853 1.916
Mg 2.588 9.911 7.500
Mg 3.108 0.598 3.668
Mg 3.108 4.656 9.251
Mg 5.436 5.853 3.668
Mg 5.436 9.911 9.251
Cd 0.837 7.515 6.115
Cd 0.837 8.248 0.532
Cd 1.203 7.187 8.974
Cd 1.203 8.577 3.391
Cd 1.645 1.932 8.974
Cd 1.645 3.322 3.391
Cd 2.011 2.261 6.115
Cd 2.011 2.994 0.532
Cd 3.685 7.515 10.636
Cd 3.685 8.248 5.052
Cd 4.051 7.187 7.777
Cd 4.051 8.577 2.193
Cd 4.493 1.932 7.777
Cd 4.493 3.322 2.193
Cd 4.859 2.261 10.636
Cd 4.859 2.994 5.052
Sn 0.000 0.000 5.584
Sn 0.000 5.255 0.000
Sn 2.848 0.000 0.000
Sn 2.848 5.255 5.584

=====

8.
10
Lattice="-2.044 2.044 14.474 2.044 -2.044 14.474 2.044 2.044 -14.474" Properties=species:S:1:pos:R:3 comment="Sm5P4S PBE optimized geometry" energy_ev_per_atom=-6.6373 vol_a3_per_atom=24.2 raw_formation_energy_ev_per_atom=-1.701 pbc="T T T"
Sm 0.000 0.000 0.000
Sm 0.000 0.000 5.802
Sm 0.000 0.000 11.528
Sm 0.000 0.000 17.420
Sm 0.000 0.000 23.146
P 0.000 0.000 2.846
P 0.000 0.000 8.693
P 0.000 0.000 20.255
P 0.000 0.000 26.102
S 0.000 0.000 14.474

=====

9.
18
Lattice="-3.902 3.902 7.250 3.902 -3.902 7.250 3.902 3.902 -7.250" Properties=species:S:1:pos:R:3 comment="RbCe2AuS5 PBE optimized geometry" energy_ev_per_atom=-5.4568 vol_a3_per_atom=24.5 raw_formation_energy_ev_per_atom=-1.374 pbc="T T T"
Rb 0.000 0.000 3.625
Rb 0.000 0.000 10.875
Ce 5.191 1.290 0.000
Ce 1.290 2.612 0.000
Ce 2.612 1.290 7.250
Ce -1.290 2.612 7.250
Au 3.902 0.000 3.625
Au 0.000 3.902 3.625
S 0.000 0.000 0.000
S 2.784 1.118 -1.697
S 2.784 -1.118 5.553
S 2.784 1.118 1.697
S 2.784 -1.118 8.947
S 0.000 0.000 7.250
S 1.118 5.019 -1.697
S 1.118 2.784 5.553
S 1.118 5.019 1.697
S 1.118 2.784 8.947

=====

10.
8
Lattice="-3.827 3.827 2.725 3.827 -3.827 2.725 3.827 3.827 -2.725" Properties=species:S:1:pos:R:3 comment="TiHg2F PBE optimized geometry" energy_ev_per_atom=-2.9493 vol_a3_per_atom=20.0 raw_formation_energy_ev_per_atom=-0.357 pbc="T T T"
Ti 0.000 0.000 0.000
Ti 0.000 3.827 1.363
Hg 1.914 -1.727 2.044
Hg 2.100 1.914 0.681
Hg 1.914 5.555 -0.681
Hg 1.727 1.914 3.407
F 3.827 0.000 1.363
F 0.000 0.000 2.725

=====

11.
4
Lattice="4.256 -2.075 0.000 4.256 2.075 0.000 -1.761 0.000 6.060" Properties=species:S:1:pos:R:3 comment="LiCd2Te PBE optimized geometry" energy_ev_per_atom=-2.0466 vol_a3_per_atom=26.8 raw_formation_energy_ev_per_atom=-0.325 pbc="T T T"
Li 0.000 0.000 0.000
Cd 4.286 0.000 4.405
Cd 6.826 0.000 2.954
Te 2.595 0.000 0.757

=====

12.
12
Lattice="4.957 0.000 0.000 0.000 7.018 0.000 -0.181 0.000 4.958" Properties=species:S:1:pos:R:3 comment="PrNpSc2O8 PBE optimized geometry" energy_ev_per_atom=-8.9079 vol_a3_per_atom=14.4 raw_formation_energy_ev_per_atom=-3.070 pbc="T T T"
Pr 0.000 0.000 0.000
Np 0.000 3.509 0.000
Sc 2.388 1.592 2.479
Sc 2.388 5.425 2.479
O 0.951 1.968 0.995
O 0.951 5.049 0.995
O 1.240 3.509 3.595
O 1.495 0.000 3.351
O 3.281 0.000 1.607
O 3.536 3.509 1.363
O 3.825 1.968 3.963
O 3.825 5.049 3.963